## LiCoPO4 (GGA+U)

Data for LiCoPO4 after structural relaxation.

Geometry as extended XYZ:
```
28
Lattice="8.043 0.000 0.000 0.000 5.326 0.000 -2.200 0.000 8.121" Properties=species:S:1:pos:R:3 pbc="T T T"
Li 0.000 0.857 0.000
Li -1.100 4.470 4.060
Li 2.546 1.772 5.556
Li 3.646 3.554 1.496
Co 0.040 1.840 3.012
Co -1.060 3.486 7.073
Co 4.873 0.886 0.534
Co 3.773 4.440 4.594
P 2.420 0.881 2.482
P 1.320 4.445 6.542
P 5.643 1.756 5.046
P 6.743 3.570 0.986
O -1.673 1.747 6.431
O -0.574 3.580 2.370
O 1.174 0.918 1.547
O 0.074 4.408 5.607
O 1.885 1.597 3.767
O 0.785 3.729 7.827
O 1.794 0.562 6.887
O 2.894 4.764 2.827
O 3.615 1.653 1.856
O 2.515 3.673 5.916
O 4.331 0.952 5.175
O 5.431 4.374 1.115
O 6.482 2.079 0.593
O 5.382 3.247 4.653
O 6.548 1.079 3.972
O 5.448 4.248 8.033
```

Results
Crystal system = monoclinic
Relative energy among the computed polymorphs = 47 meV per atom